No. 1
! TbGe2IrPd GGA-PBE optimized geometry; values from VASP
! * SG: No. 119
! * spin magnetization: 0.0 Bohr magnetons per cell
! * raw total energy: -6.309 eV per atom
&SYSTEM
  ibrav = 0, nat = 5, ntyp = 4
/
ATOMIC_SPECIES
Tb 158.93 Tb.upf
Ge 72.64 Ge.upf
Pd 106.42 Pd.upf
Ir 192.22 Ir.upf
ATOMIC_POSITIONS angstrom
Tb 0.000 0.000 0.000
Ge 2.089 2.089 1.232
Ge 0.000 0.000 3.982
Pd 0.000 2.089 2.607
Ir 2.089 0.000 2.607
CELL_PARAMETERS angstrom
4.179 0.000 0.000
0.000 4.179 0.000
-2.089 -2.089 5.214

No. 2
! La2PtPb GGA-PBE optimized geometry; values from VASP
! * SG: No. 99
! * spin magnetization: 0.0 Bohr magnetons per cell
! * raw total energy: -5.350 eV per atom
&SYSTEM
  ibrav = 0, nat = 4, ntyp = 3
/
ATOMIC_SPECIES
Pt 195.08 Pt.upf
La 138.91 La.upf
Pb 207.20 Pb.upf
ATOMIC_POSITIONS angstrom
Pt 3.694 -4.898 3.634
La 1.036 -3.377 0.901
La 5.200 -2.976 5.347
Pb 3.066 -1.755 3.153
CELL_PARAMETERS angstrom
-2.514 -2.548 1.026
1.319 -2.336 -2.583
5.676 -3.249 5.836

No. 3
! K2AlPt GGA-PBE optimized geometry; values from VASP
! * SG: No. 123
! * spin magnetization: 0.0 Bohr magnetons per cell
! * raw total energy: -2.740 eV per atom
&SYSTEM
  ibrav = 0, nat = 4, ntyp = 3
/
ATOMIC_SPECIES
K 39.10 K.upf
Al 26.98 Al.upf
Pt 195.08 Pt.upf
ATOMIC_POSITIONS angstrom
K 0.682 -2.555 -1.439
K 0.000 0.000 0.000
Al 1.349 -2.507 1.942
Pt -1.543 -2.848 1.176
CELL_PARAMETERS angstrom
-0.877 -2.800 4.557
-2.210 -2.896 -2.205
3.574 -2.215 -0.674

Respective formation energy from the elements values: -0.725; -0.449; 0.254 eV per atom.